Entry from Alexandria via LeMat-Bulk: Sb2WAu at its PBEsol-relaxed geometry (SCAN).

Cell and atoms, written as POSCAR:
```
Sb2WAu
1.0
4.0162 0.0000 0.0000
0.0000 4.7808 0.0000
-2.0081 -2.3904 4.0650
Au Sb W
1 2 1
direct
0.0000 0.5000 0.0000
0.7354 0.7354 0.4707
0.2646 0.2646 0.5293
0.5000 0.0000 0.0000
```

Properties
- energy relative to the elements, uncorrected (eV/atom) = 0.720
- theoretical density (g/cm3) = 13.28
- relative energy among the computed polymorphs (meV/atom) = 309


Entry from Alexandria via LeMat-Bulk: Si3PtSe at its PBEsol-relaxed geometry (SCAN).

Cell and atoms, written as POSCAR:
```
Si3PtSe
1.0
4.6680 0.0000 0.0000
0.0000 4.6680 0.0000
0.0000 0.0000 4.6680
Si Se Pt
3 1 1
direct
0.0000 0.5000 0.0000
0.0000 0.0000 0.5000
0.5000 0.0000 0.0000
0.5000 0.5000 0.5000
0.0000 0.0000 0.0000
```

Properties
- energy relative to the elements, uncorrected (eV/atom) = 0.443
- theoretical density (g/cm3) = 5.85
- relative energy among the computed polymorphs (meV/atom) = 0


Entry from Alexandria via LeMat-Bulk: RbSnO3 at its PBEsol-relaxed geometry (SCAN).

Cell and atoms, written as POSCAR:
```
RbSnO3
1.0
-0.9581 2.8007 3.1578
-1.3503 -3.2713 2.4917
3.9990 -0.4335 1.5979
O Sn Rb
3 1 1
direct
0.0000 0.5000 0.0000
0.0000 0.0000 0.5000
0.5000 0.0000 0.0000
0.5000 0.5000 0.5000
0.0000 0.0000 0.0000
```

Properties
- energy relative to the elements, uncorrected (eV/atom) = 0.637
- theoretical density (g/cm3) = 5.16


Entry from Alexandria via LeMat-Bulk: ZrCdMo2 at its PBEsol-relaxed geometry (SCAN).

Cell and atoms, written as POSCAR:
```
ZrCdMo2
1.0
3.0710 0.0000 0.0000
1.5355 2.6595 0.0000
1.5355 0.8865 9.0093
Cd Mo Zr
1 2 1
direct
0.2543 0.2543 0.2370
0.0102 0.0102 0.9695
0.7435 0.7435 0.7694
0.4920 0.4920 0.5241
```

Properties
- calculated formation energy (eV/atom) = 0.25
- theoretical density (g/cm3) = 8.93


Entry from Alexandria via LeMat-Bulk: SrHgSb2 at its PBEsol-relaxed geometry (SCAN).

Cell and atoms, written as POSCAR:
```
SrHgSb2
1.0
-1.9771 0.6371 3.6862
-3.4384 -3.6754 -1.2090
5.7438 -2.0602 1.0085
Sb Hg Sr
2 1 1
direct
0.0152 0.0152 0.0304
0.7156 0.2156 0.4312
0.2771 0.7771 0.5542
0.4921 0.4921 0.9843
```

Properties
- energy relative to the elements, uncorrected (eV/atom) = -0.464
- theoretical density (g/cm3) = 7.75


Entry from Alexandria via LeMat-Bulk: La2AlTe at its PBEsol-relaxed geometry (SCAN).

Cell and atoms, written as POSCAR:
```
La2AlTe
1.0
-5.0029 1.3299 1.2312
-4.0526 -2.0004 -2.8085
-3.2439 -3.5972 2.2024
Te Al La
1 1 2
direct
0.2500 0.2500 0.2500
0.5000 0.5000 0.5000
0.0000 0.0000 0.0000
0.7500 0.7500 0.7500
```

Properties
- energy relative to the elements, uncorrected (eV/atom) = -0.335
- theoretical density (g/cm3) = 6.74
- relative energy among the computed polymorphs (meV/atom) = 622


Entry from Alexandria via LeMat-Bulk: Rb2AlP at its PBEsol-relaxed geometry (SCAN).

Cell and atoms, written as POSCAR:
```
Rb2AlP
1.0
5.6142 0.0000 0.0000
2.8071 4.8620 0.0000
2.8071 1.6207 4.5839
P Al Rb
1 1 2
direct
0.5000 0.5000 0.5000
0.0000 0.0000 0.0000
0.2500 0.2500 0.2500
0.7500 0.7500 0.7500
```

Properties
- calculated formation energy (eV/atom) = 0.36
- theoretical density (g/cm3) = 3.04


Entry from Alexandria via LeMat-Bulk: Zr2FeOs at its PBEsol-relaxed geometry (SCAN).

Cell and atoms, written as POSCAR:
```
Zr2FeOs
1.0
3.7838 0.0000 0.0000
0.0000 3.7838 0.0000
-1.8919 -1.8919 4.6548
Fe Os Zr
1 1 2
direct
0.5000 0.5000 0.0000
0.2500 0.7500 0.5000
0.0000 0.0000 0.0000
0.7500 0.2500 0.5000
```

Properties
- calculated formation energy (eV/atom) = -0.13
- theoretical density (g/cm3) = 10.68


Entry from Alexandria via LeMat-Bulk: Tb4CdPt at its PBEsol-relaxed geometry (SCAN).

Cell and atoms, written as POSCAR:
```
Tb4CdPt
1.0
-8.1180 -4.9634 -0.7783
0.0388 -8.5928 -4.1600
-1.3144 -7.8568 5.2618
Tb Cd Pt
16 4 4
direct
0.8974 0.8974 0.3077
0.3077 0.8974 0.8974
0.8974 0.8974 0.8974
0.8974 0.3077 0.8974
0.0594 0.4406 0.4406
0.4406 0.0594 0.0594
0.0594 0.0594 0.4406
0.4406 0.4406 0.0594
0.4406 0.0594 0.4406
0.0594 0.4406 0.0594
0.6859 0.3141 0.3141
0.3141 0.6859 0.6859
0.6859 0.6859 0.3141
0.3141 0.3141 0.6859
0.3141 0.6859 0.3141
0.6859 0.3141 0.6859
0.6688 0.6688 0.9936
0.9936 0.6688 0.6688
0.6688 0.6688 0.6688
0.6688 0.9936 0.6688
0.1064 0.1064 0.6807
0.6807 0.1064 0.1064
0.1064 0.1064 0.1064
0.1064 0.6807 0.1064
```

Properties
- calculated formation energy (eV/atom) = -0.75
- theoretical density (g/cm3) = 10.18


Entry from Alexandria via LeMat-Bulk: ReNiMo2 at its PBEsol-relaxed geometry (SCAN).

Cell and atoms, written as POSCAR:
```
ReNiMo2
1.0
3.8158 0.0000 0.0000
0.0000 3.8158 0.0000
0.0000 0.0000 3.8010
Re Mo Ni
1 2 1
direct
0.0000 0.0000 0.5000
0.0000 0.5000 0.0000
0.5000 0.0000 0.0000
0.5000 0.5000 0.5000
```

Properties
- calculated formation energy (eV/atom) = 0.04
- theoretical density (g/cm3) = 13.11
- relative energy among the computed polymorphs (meV/atom) = 0


Entry from Alexandria via LeMat-Bulk: Li2RuSe at its PBEsol-relaxed geometry (SCAN).

Cell and atoms, written as POSCAR:
```
Li2RuSe
1.0
3.6486 0.0000 0.0000
0.0000 3.6486 0.0000
0.0000 0.0000 3.9492
Ru Se Li
1 1 2
direct
0.5000 0.5000 0.5000
0.0000 0.0000 0.5000
0.0000 0.5000 0.0000
0.5000 0.0000 0.0000
```

Properties
- energy relative to the elements, uncorrected (eV/atom) = -0.261
- theoretical density (g/cm3) = 6.12


Entry from Alexandria via LeMat-Bulk: TaReSi at its PBEsol-relaxed geometry (SCAN).

Cell and atoms, written as POSCAR:
```
TaReSi
1.0
-1.5029 1.2503 -2.5802
-0.5686 -6.2604 -2.7025
-4.9410 2.4361 4.0585
Ta Re Si
3 3 3
direct
0.5000 0.6009 0.0000
0.5000 0.3991 0.3991
0.5000 0.0000 0.6009
0.0000 0.2623 0.0000
0.0000 0.7377 0.7377
0.0000 0.0000 0.2623
0.0000 0.3333 0.6667
0.0000 0.6667 0.3333
0.5000 0.0000 0.0000
```

Properties
- energy relative to the elements, uncorrected (eV/atom) = -0.499
- theoretical density (g/cm3) = 15.00


Entry from Alexandria via LeMat-Bulk: LiTcIr2 at its PBEsol-relaxed geometry (SCAN).

Cell and atoms, written as POSCAR:
```
LiTcIr2
1.0
2.7413 0.0000 0.0000
0.0000 4.3874 0.0000
0.0000 0.0000 4.4991
Ir Li Tc
2 1 1
direct
0.0000 0.0000 0.0000
0.5000 0.0000 0.5000
0.5000 0.5000 0.0000
0.0000 0.5000 0.5000
```

Properties
- calculated formation energy (eV/atom) = 0.12
- theoretical density (g/cm3) = 15.02
- relative energy among the computed polymorphs (meV/atom) = 221


Entry from Alexandria via LeMat-Bulk: Ba3NiPb at its PBEsol-relaxed geometry (SCAN).

Cell and atoms, written as POSCAR:
```
Ba3NiPb
1.0
-4.3472 3.4736 1.4300
-2.4608 -0.9810 -5.0981
-2.8381 -4.4700 2.2301
Pb Ni Ba
1 1 3
direct
0.5000 0.5000 0.5000
0.0000 0.0000 0.0000
0.0000 0.5000 0.0000
0.0000 0.0000 0.5000
0.5000 0.0000 0.0000
```

Properties
- calculated formation energy (eV/atom) = -0.21
- theoretical density (g/cm3) = 5.94
- relative energy among the computed polymorphs (meV/atom) = 0


Entry from Alexandria via LeMat-Bulk: Cr3GeN at its PBEsol-relaxed geometry (SCAN).

Cell and atoms, written as POSCAR:
```
Cr3GeN
1.0
-1.8084 3.0461 1.7328
1.8865 -1.5203 4.6415
4.2532 2.9574 -0.7600
Cr Ge N
6 2 2
direct
0.9231 0.2056 0.7056
0.9231 0.7944 0.2944
0.5000 0.5000 0.5000
0.0769 0.2944 0.2056
0.0769 0.7056 0.7944
0.5000 0.0000 0.0000
0.4434 0.0000 0.5000
0.5566 0.5000 0.0000
0.0000 0.0000 0.0000
0.0000 0.5000 0.5000
```

Properties
- energy relative to the elements, uncorrected (eV/atom) = -0.364
- theoretical density (g/cm3) = 7.45
- relative energy among the computed polymorphs (meV/atom) = 0


Entry from Alexandria via LeMat-Bulk: Mn2V3Ag3O12 at its PBEsol-relaxed geometry (SCAN).

Cell and atoms, written as POSCAR:
```
Mn2V3Ag3O12
1.0
-1.7874 -5.9989 -8.6192
-5.1233 -4.1731 8.3552
-3.5438 9.8902 -1.7602
Mn V Ag O
8 12 12 48
direct
0.0000 0.0000 0.0000
0.5000 0.0000 0.5000
0.0000 0.5000 0.5000
0.5000 0.5000 0.5000
0.5000 0.5000 0.0000
0.5000 0.0000 0.0000
0.0000 0.5000 0.0000
0.0000 0.0000 0.5000
0.7500 0.1250 0.3750
0.2500 0.8750 0.6250
0.2500 0.3750 0.1250
0.6250 0.2500 0.8750
0.3750 0.7500 0.1250
0.7500 0.6250 0.8750
0.8750 0.7500 0.6250
0.1250 0.2500 0.3750
0.3750 0.6250 0.7500
0.6250 0.3750 0.2500
0.1250 0.8750 0.2500
0.8750 0.1250 0.7500
0.7500 0.8750 0.1250
0.2500 0.1250 0.8750
0.2500 0.6250 0.3750
0.8750 0.2500 0.1250
0.6250 0.7500 0.3750
0.7500 0.3750 0.6250
0.1250 0.7500 0.8750
0.3750 0.2500 0.6250
0.6250 0.8750 0.7500
0.3750 0.1250 0.2500
0.8750 0.6250 0.2500
0.1250 0.3750 0.7500
0.5062 0.8114 0.9028
0.4938 0.1886 0.0972
0.4086 0.6035 0.5972
0.0914 0.6886 0.1949
0.6949 0.0914 0.1886
0.6886 0.9938 0.5972
0.5914 0.3965 0.4028
0.9086 0.3114 0.8051
0.3051 0.9086 0.8114
0.3114 0.0062 0.4028
0.9938 0.8965 0.3051
0.8051 0.9938 0.3965
0.8965 0.0914 0.9028
0.0062 0.1035 0.6949
0.1949 0.0062 0.6035
0.1035 0.9086 0.0972
0.4028 0.5062 0.3114
0.8114 0.4086 0.3051
0.5972 0.4938 0.6886
0.1886 0.5914 0.6949
0.0972 0.4086 0.1035
0.6035 0.5062 0.1949
0.9028 0.5914 0.8965
0.3965 0.4938 0.8051
0.6035 0.0972 0.9086
0.4086 0.8051 0.3114
0.3965 0.9028 0.0914
0.5914 0.1949 0.6886
0.8965 0.8051 0.4938
0.9938 0.0972 0.1886
0.1035 0.1949 0.5062
0.0062 0.9028 0.8114
0.6886 0.6949 0.5914
0.0914 0.4028 0.3965
0.3114 0.3051 0.4086
0.9086 0.5972 0.6035
0.8114 0.4028 0.0062
0.5062 0.6949 0.1035
0.1886 0.5972 0.9938
0.4938 0.3051 0.8965
0.6949 0.6035 0.0062
0.3051 0.3965 0.9938
0.8051 0.8114 0.9086
0.1949 0.1886 0.0914
0.0972 0.6886 0.4938
0.9028 0.3114 0.5062
0.4028 0.8965 0.5914
0.5972 0.1035 0.4086
```

Properties
- energy relative to the elements, uncorrected (eV/atom) = -1.897
- theoretical density (g/cm3) = 5.56


Entry from Alexandria via LeMat-Bulk: ReSiGeS2 at its PBEsol-relaxed geometry (SCAN).

Cell and atoms, written as POSCAR:
```
ReSiGeS2
1.0
-2.0190 -2.0121 -3.4544
-2.4208 -2.4643 2.8503
-3.5449 3.5124 0.0261
Re Ge Si S
1 1 1 2
direct
0.0000 0.0000 0.0000
0.5000 0.5000 0.5000
0.0000 0.0000 0.5000
0.0000 0.5000 0.0000
0.5000 0.0000 0.0000
```

Properties
- energy relative to the elements, uncorrected (eV/atom) = 0.698
- theoretical density (g/cm3) = 5.82


Entry from Alexandria via LeMat-Bulk: KMnCr2 at its PBEsol-relaxed geometry (SCAN).

Cell and atoms, written as POSCAR:
```
KMnCr2
1.0
-3.9345 2.1824 -1.4291
-3.0711 -2.2557 -2.7867
-4.1936 -1.3377 1.7058
Cr K Mn
2 1 1
direct
0.0000 0.0000 0.0000
0.7500 0.7500 0.7500
0.5000 0.5000 0.5000
0.2500 0.2500 0.2500
```

Properties
- calculated formation energy (eV/atom) = 0.86
- theoretical density (g/cm3) = 4.42
- relative energy among the computed polymorphs (meV/atom) = 0


Entry from Alexandria via LeMat-Bulk: Li2CeAs2 at its PBEsol-relaxed geometry (SCAN).

Cell and atoms, written as POSCAR:
```
Li2CeAs2
1.0
4.2283 0.0000 0.0000
-2.1142 3.6618 0.0000
0.0000 0.0000 6.7536
As Ce Li
2 1 2
direct
0.3333 0.6667 0.2305
0.6667 0.3333 0.7695
0.0000 0.0000 0.0000
0.3333 0.6667 0.6244
0.6667 0.3333 0.3756
```

Properties
- calculated formation energy (eV/atom) = -1.10
- theoretical density (g/cm3) = 4.82


Entry from Alexandria via LeMat-Bulk: CdFe2Au at its PBEsol-relaxed geometry (SCAN).

Cell and atoms, written as POSCAR:
```
CdFe2Au
1.0
-2.8520 -0.0760 0.8511
0.4629 -2.6301 1.3163
1.5953 3.0945 5.6223
Au Cd Fe
1 1 2
direct
0.0000 0.0000 0.4691
0.5000 0.5000 0.7725
0.0000 0.0000 0.0445
0.5000 0.5000 0.2139
```

Properties
- calculated formation energy (eV/atom) = 0.02
- theoretical density (g/cm3) = 11.93


Entry from Alexandria via LeMat-Bulk: TeIr at its PBEsol-relaxed geometry (SCAN).

Cell and atoms, written as POSCAR:
```
TeIr
1.0
-3.4243 1.5056 -2.9044
-4.1561 -2.2665 -0.1360
-3.8781 2.0567 1.7773
Ir Te
2 2
direct
0.5000 0.5000 0.5000
0.7500 0.7500 0.7500
0.0000 0.0000 0.0000
0.2500 0.2500 0.2500
```

Properties
- energy relative to the elements, uncorrected (eV/atom) = 1.007
- theoretical density (g/cm3) = 14.14


Entry from Alexandria via LeMat-Bulk: La2BiRh2 at its PBEsol-relaxed geometry (SCAN).

Cell and atoms, written as POSCAR:
```
La2BiRh2
1.0
-0.0745 3.8867 0.2495
-2.8899 -0.2225 2.6025
7.1354 -2.1252 4.8266
Rh Bi La
2 1 2
direct
0.2500 0.7500 0.5000
0.7500 0.2500 0.5000
0.0000 0.0000 0.0000
0.3697 0.3697 0.7394
0.6303 0.6303 0.2606
```

Properties
- calculated formation energy (eV/atom) = -0.67
- theoretical density (g/cm3) = 8.99
- relative energy among the computed polymorphs (meV/atom) = 192


Entry from Alexandria via LeMat-Bulk: Co2IrSe at its PBEsol-relaxed geometry (SCAN).

Cell and atoms, written as POSCAR:
```
Co2IrSe
1.0
2.6888 0.0000 0.0000
0.0000 4.3486 0.0000
0.0000 0.0000 4.3486
Ir Co Se
1 2 1
direct
0.5000 0.5000 0.5000
0.0000 0.0000 0.5000
0.0000 0.5000 0.0000
0.5000 0.0000 0.0000
```

Properties
- energy relative to the elements, uncorrected (eV/atom) = 0.499
- theoretical density (g/cm3) = 12.71


Entry from Alexandria via LeMat-Bulk: KMoPb2 at its PBEsol-relaxed geometry (SCAN).

Cell and atoms, written as POSCAR:
```
KMoPb2
1.0
-0.3910 -3.2701 0.5695
3.5987 -1.1075 -3.8885
3.9932 0.1583 3.6505
K Mo Pb
1 1 2
direct
0.5000 0.5000 0.5000
0.5000 0.0000 0.0000
0.0000 0.0000 0.5000
0.0000 0.5000 0.0000
```

Properties
- calculated formation energy (eV/atom) = 0.76
- theoretical density (g/cm3) = 9.32
- relative energy among the computed polymorphs (meV/atom) = 0